# CaAcPdRh (GGA-PBE, optimized geometry)
data_CaAcPdRh
_cell_length_a 7.265
_cell_length_b 7.265
_cell_length_c 7.265
_cell_angle_alpha 90.00
_cell_angle_beta 90.00
_cell_angle_gamma 90.00
_symmetry_space_group_name_H-M 'F -4 3 m'
_symmetry_Int_Tables_number 216
_symmetry_space_group_name_Hall 'F -4 2 3'
loop_
_atom_site_label
_atom_site_type_symbol
_atom_site_fract_x
_atom_site_fract_y
_atom_site_fract_z
Ca1 Ca 0.000 0.000 0.000
Ac1 Ac 0.000 0.000 0.500
Pd1 Pd 0.250 0.250 0.250
Rh1 Rh 0.250 0.250 0.750
# Formation energy from the elements ... -0.585 eV per atom
# Relative energy among the computed polymorphs ... 0.088 eV/atom